This record from Alexandria via LeMat-Bulk describes crystalline Be2Au2O at its relaxed geometry. The functional is PBE-GGA.

abc: 6.4798 6.4798 3.0461
angles: 90.00 90.00 90.00
Last column: nearest neighbours and their distance in Å.
Space group P4/mbm (No. 127)
Inequivalent atoms, fractional coordinates:
Be 0.1359 0.3641 0.0000 (multiplicity 4)  6 Au 2.41-2.45, 1 Be 2.49
Au 0.1597 0.6597 0.5000 (multiplicity 4)  6 Be 2.41-2.45, 2 O 2.44
O 0.0000 0.0000 0.5000 (multiplicity 2)  4 Au 2.44

## Properties
The uncorrected formation energy comes out at 0.18 eV/atom. For the polymorph energy (0 for the lowest one), the calculation gives 220 meV per atom. The uncorrected energy is -36.2 eV per cell.

This record from Alexandria via LeMat-Bulk describes crystalline ReHgS2 at its relaxed geometry. The functional is PBE-GGA.

abc: 3.1665 3.1665 29.6709
angles: 90.00 90.00 120.00
Last column: nearest neighbours and their distance in Å.
Space group R-3m (No. 166, hexagonal axes)
Inequivalent atoms, fractional coordinates:
Re 0.0000 0.0000 0.0000 (multiplicity 3)  6 S 2.42
Hg 0.0000 0.0000 0.5000 (multiplicity 3)  6 Hg 3.17, 2 S 3.36
S 0.0000 0.0000 0.3869 (multiplicity 6)  3 Re 2.42

## Properties
The uncorrected formation energy comes out at -0.13 eV/atom. The uncorrected energy is -64.6 eV per cell.

This record from Alexandria via LeMat-Bulk describes crystalline La2HoCu6 at its relaxed geometry. The functional is PBE-GGA.

abc: 7.4446 7.4446 3.7479
angles: 90.00 90.00 120.00
Last column: nearest neighbours and their distance in Å.
Space group P6/mmm (No. 191)
Inequivalent atoms, fractional coordinates:
La 0.3333 0.6667 0.0000 (multiplicity 2)  12 Cu 3.12
Ho 0.0000 0.0000 0.0000 (multiplicity 1)  12 Cu 3.09
Cu 0.0000 0.3292 0.5000 (multiplicity 6)  3 Cu 2.45-2.54

## Properties
For the formation energy, the calculation gives -0.225 eV per atom. The uncorrected energy is -41.0 eV per cell.

This record from Alexandria via LeMat-Bulk describes crystalline Dy2Tm3Al2 at its relaxed geometry. The functional is PBE-GGA.

abc: 3.4081 31.8429 3.4321
angles: 90.00 90.00 90.00
Last column: nearest neighbours and their distance in Å.
Space group Cmmm (No. 65)
Inequivalent atoms, fractional coordinates:
Dy 0.0000 0.2020 0.0000 (multiplicity 4)  6 Dy 3.41-3.50, 4 Tm 3.52
Tm 0.0000 0.3781 0.5000 (multiplicity 4)  4 Al 3.10, 4 Tm 3.41-3.43
Tm 0.0000 0.5000 0.5000 (multiplicity 2)  8 Al 3.10, 4 Tm 3.41-3.43
Al 0.0000 0.0611 0.0000 (multiplicity 4)  8 Tm 3.10, 4 Al 3.41-3.43

## Properties
For the polymorph energy (0 for the lowest one), the calculation gives 50 meV per atom. For the formation energy, the calculation gives -0.161 eV per atom. The uncorrected energy is -62.5 eV per cell.

This record from Alexandria via LeMat-Bulk describes crystalline YZnGaPd2 at its relaxed geometry. The functional is PBE-GGA.

abc: 5.2726 13.2770 5.4635
angles: 90.00 90.00 90.00
Last column: nearest neighbours and their distance in Å.
Space group Cmme (No. 67)
Inequivalent atoms, fractional coordinates:
Y 0.0000 0.2500 0.2259 (multiplicity 4)  8 Pd 2.96-3.16
Zn 0.0000 0.0000 0.0000 (multiplicity 4)  2 Pd 2.52, 2 Zn 2.64
Ga 0.2500 0.0000 0.5000 (multiplicity 4)  4 Pd 2.60, 2 Ga 2.64
Pd 0.0000 0.1465 0.7057 (multiplicity 8)  1 Zn 2.52, 2 Ga 2.60, 1 Pd 2.75

## Properties
For the formation energy, the calculation gives -0.567 eV per atom. The uncorrected energy is -95.9 eV per cell.

This record from Alexandria via LeMat-Bulk describes crystalline LiVHg at its relaxed geometry. The functional is PBE-GGA.

abc: 2.8977 4.3939 8.1254
angles: 94.16 96.12 93.63
Last column: nearest neighbours and their distance in Å.
Space group P-1 (No. 2)
Inequivalent atoms, fractional coordinates:
Li 0.0793 0.2912 0.2367 (multiplicity 2)  4 Hg 2.65-2.94, 4 V 2.79-2.95, 2 Li 2.90
V 0.3334 0.8099 0.4551 (multiplicity 2)  1 V 1.93
Hg 0.4071 0.2283 0.8735 (multiplicity 2)  4 Li 2.65-2.94, 1 V 2.85, 2 Hg 2.90

## Properties
For the polymorph energy (0 for the lowest one), the calculation gives 112 meV per atom. For the formation energy, the calculation gives 0.144 eV per atom. The uncorrected energy is -21.8 eV per cell.

This record from Alexandria via LeMat-Bulk describes crystalline YPBr2 at its relaxed geometry. The functional is PBE-GGA.

abc: 4.6467 4.6467 21.0609
angles: 90.00 90.00 120.00
Last column: nearest neighbours and their distance in Å.
Space group R3m (No. 160, hexagonal axes)
Inequivalent atoms, fractional coordinates:
Y 0.0000 0.0000 0.0000 (multiplicity 3)  3 P 2.70
P 0.0000 0.0000 0.3463 (multiplicity 3)  3 Y 2.70
Br 0.0000 0.0000 0.5806 (multiplicity 3)  3 Y 3.24, 3 P 3.40
Br 0.0000 0.0000 0.7644 (multiplicity 3)  3 P 3.22, 3 Y 3.38

## Properties
The uncorrected formation energy comes out at -0.64 eV/atom. For the polymorph energy (0 for the lowest one), the calculation gives 464 meV per atom. The uncorrected energy is -53.3 eV per cell.

This record from Alexandria via LeMat-Bulk describes crystalline CsRbIn2Ag at its relaxed geometry. The functional is PBE-GGA.

abc: 5.5743 5.5743 6.5403
angles: 90.00 90.00 90.00
Last column: nearest neighbours and their distance in Å.
Space group P4/mmm (No. 123)
Inequivalent atoms, fractional coordinates:
Cs 0.0000 0.0000 0.0000 (multiplicity 1)  4 Rb 3.94, 8 In 4.30
Rb 0.5000 0.5000 0.0000 (multiplicity 1)  2 Ag 3.27
In 0.0000 0.5000 0.5000 (multiplicity 2)  2 Ag 2.79
Ag 0.5000 0.5000 0.5000 (multiplicity 1)  4 In 2.79

## Properties
For the formation energy, the calculation gives 0.089 eV per atom. The uncorrected energy is -9.7 eV per cell.